VASP calculation (PBE+U) on a relaxed VPb3F crystal.

Unit cell a=5.341 b=5.341 c=5.341 alpha=90.00 beta=90.00 gamma=90.00
Site moments in Bohr magnetons follow the coordinates.
Atoms (fractional coordinates):
F (0.500, 0.500, 0.500)  -0.05
Pb (0.000, 0.000, 0.500)  -0.06
Pb (0.000, 0.500, 0.000)  -0.06
Pb (0.500, 0.000, 0.000)  -0.06
V (0.000, 0.000, 0.000)  2.25

Properties
Spin magnetization (μB/f.u.): 2.00
Energy relative to the lowest polymorph listed for this composition (eV per atom): 0.1626
VASP energy (eV per cell): -19.5